Entry from the Alexandria database: crystalline Tl2Cr2SnO6 at its relaxed geometry (PBE with a Hubbard U).

Results
N(E_F), states/eV/cell: 0.000
E, eV/cell: -69.793

abc: 5.420 5.420 6.832
angles: 97.87 97.87 120.09
Atoms (fractional coordinates):
Tl  0.168  0.832  0.000
Tl  0.832  0.168  0.000
Cr  0.334  0.666  0.500
Cr  0.666  0.334  0.500
Sn  0.000  0.000  0.500
O  0.052  0.395  0.657
O  0.285  0.285  0.344
O  0.395  0.052  0.657
O  0.605  0.948  0.343
O  0.715  0.715  0.656
O  0.948  0.605  0.343